A geometry-optimized Y4Pt3Au structure. Source: Alexandria via LeMat-Bulk, functional PBE.

Computed properties:
The value obtained for the calculated formation energy is -1.1681 eV per atom.

CIF file:
```
data_Y4Pt3Au
_symmetry_space_group_name_H-M 'P 1'
_symmetry_Int_Tables_number 1
_cell_length_a 3.771
_cell_length_b 4.567
_cell_length_c 10.639
_cell_angle_alpha 90.00
_cell_angle_beta 90.00
_cell_angle_gamma 90.00
loop_
_symmetry_equiv_pos_as_xyz
'x,y,z'
loop_
_atom_site_label
_atom_site_fract_x
_atom_site_fract_y
_atom_site_fract_z
Y1 0.500 0.500 0.369
Y2 0.000 0.500 0.855
Y3 0.000 0.000 0.140
Y4 0.500 0.000 0.638
Au1 0.500 0.500 0.086
Pt1 0.000 0.500 0.587
Pt2 0.000 0.000 0.412
Pt3 0.500 0.000 0.913
```

A geometry-optimized Li5NdAg4 structure. Source: Alexandria via LeMat-Bulk, functional PBE.

Computed properties:
The value obtained for the calculated formation energy is -0.1365 eV per atom.

CIF file:
```
data_Li5NdAg4
_symmetry_space_group_name_H-M 'P 1'
_symmetry_Int_Tables_number 1
_cell_length_a 3.303
_cell_length_b 3.303
_cell_length_c 16.564
_cell_angle_alpha 90.00
_cell_angle_beta 90.00
_cell_angle_gamma 90.00
loop_
_symmetry_equiv_pos_as_xyz
'x,y,z'
loop_
_atom_site_label
_atom_site_fract_x
_atom_site_fract_y
_atom_site_fract_z
Li1 0.500 0.500 0.143
Li2 0.500 0.500 0.318
Li3 0.500 0.500 0.500
Li4 0.500 0.500 0.682
Li5 0.500 0.500 0.857
Nd1 0.000 0.000 0.000
Ag1 0.000 0.000 0.227
Ag2 0.000 0.000 0.409
Ag3 0.000 0.000 0.591
Ag4 0.000 0.000 0.773
```

A geometry-optimized NaU2Pt9 structure. Source: Alexandria via LeMat-Bulk, functional PBE.

Computed properties:
The value obtained for the calculated formation energy is -0.5820 eV per atom.

CIF file:
```
data_NaU2Pt9
_symmetry_space_group_name_H-M 'P 1'
_symmetry_Int_Tables_number 1
_cell_length_a 4.145
_cell_length_b 4.145
_cell_length_c 12.049
_cell_angle_alpha 90.00
_cell_angle_beta 90.00
_cell_angle_gamma 90.00
loop_
_symmetry_equiv_pos_as_xyz
'x,y,z'
loop_
_atom_site_label
_atom_site_fract_x
_atom_site_fract_y
_atom_site_fract_z
Na1 0.000 0.000 0.000
U1 0.000 0.000 0.323
U2 0.000 0.000 0.677
Pt1 0.500 0.500 0.000
Pt2 0.500 0.500 0.333
Pt3 0.500 0.500 0.667
Pt4 0.500 0.000 0.165
Pt5 0.500 0.000 0.500
Pt6 0.500 0.000 0.835
Pt7 0.000 0.500 0.165
Pt8 0.000 0.500 0.500
Pt9 0.000 0.500 0.835
```

A geometry-optimized ZrTcNi2 structure. Source: Alexandria via LeMat-Bulk, functional PBE.

Computed properties:
The value obtained for the calculated formation energy is -0.1160 eV per atom. The calculation puts the energy above the most stable polymorph in this dataset at 148.1 meV/atom.

CIF file:
```
data_ZrTcNi2
_symmetry_space_group_name_H-M 'P 1'
_symmetry_Int_Tables_number 1
_cell_length_a 4.648
_cell_length_b 4.648
_cell_length_c 2.781
_cell_angle_alpha 90.02
_cell_angle_beta 90.02
_cell_angle_gamma 108.39
loop_
_symmetry_equiv_pos_as_xyz
'x,y,z'
loop_
_atom_site_label
_atom_site_fract_x
_atom_site_fract_y
_atom_site_fract_z
Ni1 0.000 0.000 0.000
Ni2 0.500 0.500 0.000
Tc1 0.500 0.000 0.500
Zr1 0.000 0.500 0.500
```

A geometry-optimized Ho2TePb structure. Source: Alexandria via LeMat-Bulk, functional PBE.

Computed properties:
The calculation puts the energy above the most stable polymorph in this dataset at 24.0 meV/atom.

CIF file:
```
data_Ho2TePb
_symmetry_space_group_name_H-M 'P 1'
_symmetry_Int_Tables_number 1
_cell_length_a 4.404
_cell_length_b 4.404
_cell_length_c 7.628
_cell_angle_alpha 89.99
_cell_angle_beta 106.78
_cell_angle_gamma 120.01
loop_
_symmetry_equiv_pos_as_xyz
'x,y,z'
loop_
_atom_site_label
_atom_site_fract_x
_atom_site_fract_y
_atom_site_fract_z
Ho1 0.507 0.254 0.761
Ho2 0.493 0.746 0.239
Te1 0.000 0.500 0.500
Pb1 0.000 0.000 0.000
```

A geometry-optimized Nd2HgAs structure. Source: Alexandria via LeMat-Bulk, functional PBE.

Computed properties:
The value obtained for the calculated formation energy is -0.8193 eV per atom. The calculation puts the energy above the most stable polymorph in this dataset at 110.9 meV/atom.

CIF file:
```
data_Nd2HgAs
_symmetry_space_group_name_H-M 'P 1'
_symmetry_Int_Tables_number 1
_cell_length_a 3.856
_cell_length_b 3.856
_cell_length_c 7.082
_cell_angle_alpha 90.00
_cell_angle_beta 90.00
_cell_angle_gamma 90.00
loop_
_symmetry_equiv_pos_as_xyz
'x,y,z'
loop_
_atom_site_label
_atom_site_fract_x
_atom_site_fract_y
_atom_site_fract_z
As1 0.500 0.500 0.000
Nd1 0.000 0.000 0.769
Nd2 0.000 0.000 0.231
Hg1 0.500 0.500 0.500
```

A geometry-optimized TaVAg3 structure. Source: Alexandria via LeMat-Bulk, functional PBE.

Computed properties:
The value obtained for the calculated formation energy is 1.6738 eV per atom. The calculation puts the energy above the most stable polymorph in this dataset at 0.0 meV/atom.

CIF file:
```
data_TaVAg3
_symmetry_space_group_name_H-M 'P 1'
_symmetry_Int_Tables_number 1
_cell_length_a 4.780
_cell_length_b 4.780
_cell_length_c 4.780
_cell_angle_alpha 90.00
_cell_angle_beta 90.00
_cell_angle_gamma 90.00
loop_
_symmetry_equiv_pos_as_xyz
'x,y,z'
loop_
_atom_site_label
_atom_site_fract_x
_atom_site_fract_y
_atom_site_fract_z
Ta1 0.500 0.500 0.500
Ag1 0.000 0.500 0.000
Ag2 0.000 0.000 0.500
Ag3 0.500 0.000 0.000
V1 0.000 0.000 0.000
```

A geometry-optimized Pa8TcRh5 structure. Source: Alexandria via LeMat-Bulk, functional PBE.

Computed properties:
The value obtained for the calculated formation energy is -0.4926 eV per atom.

CIF file:
```
data_Pa8TcRh5
_symmetry_space_group_name_H-M 'P 1'
_symmetry_Int_Tables_number 1
_cell_length_a 7.388
_cell_length_b 7.388
_cell_length_c 7.388
_cell_angle_alpha 109.71
_cell_angle_beta 108.99
_cell_angle_gamma 109.71
loop_
_symmetry_equiv_pos_as_xyz
'x,y,z'
loop_
_atom_site_label
_atom_site_fract_x
_atom_site_fract_y
_atom_site_fract_z
Pa1 0.118 0.736 0.988
Pa2 0.012 0.130 0.748
Pa3 0.752 0.266 0.388
Pa4 0.612 0.364 0.878
Pa5 0.514 0.636 0.248
Pa6 0.618 0.870 0.882
Pa7 0.252 0.264 0.382
Pa8 0.122 0.734 0.486
Tc1 0.250 0.500 0.750
Rh1 0.990 0.361 0.111
Rh2 0.889 0.880 0.250
Rh3 0.750 0.639 0.629
Rh4 0.500 0.000 0.500
Rh5 0.371 0.120 0.010
```

A geometry-optimized K4Ga3Pt2 structure. Source: Alexandria via LeMat-Bulk, functional PBE.

Computed properties:
The value obtained for the calculated formation energy is -0.2946 eV per atom.

CIF file:
```
data_K4Ga3Pt2
_symmetry_space_group_name_H-M 'P 1'
_symmetry_Int_Tables_number 1
_cell_length_a 4.016
_cell_length_b 8.090
_cell_length_c 9.205
_cell_angle_alpha 106.19
_cell_angle_beta 102.60
_cell_angle_gamma 90.00
loop_
_symmetry_equiv_pos_as_xyz
'x,y,z'
loop_
_atom_site_label
_atom_site_fract_x
_atom_site_fract_y
_atom_site_fract_z
K1 0.231 0.690 0.462
K2 0.769 0.310 0.538
K3 0.579 0.893 0.158
K4 0.421 0.107 0.842
Ga1 0.102 0.274 0.205
Ga2 0.898 0.726 0.795
Ga3 0.000 0.500 0.000
Pt1 0.422 0.561 0.845
Pt2 0.578 0.439 0.155
```

A geometry-optimized PrPa2Ga6 structure. Source: Alexandria via LeMat-Bulk, functional PBE.

Computed properties:
The value obtained for the calculated formation energy is -0.4046 eV per atom.

CIF file:
```
data_PrPa2Ga6
_symmetry_space_group_name_H-M 'P 1'
_symmetry_Int_Tables_number 1
_cell_length_a 3.566
_cell_length_b 7.800
_cell_length_c 7.800
_cell_angle_alpha 120.00
_cell_angle_beta 90.00
_cell_angle_gamma 90.00
loop_
_symmetry_equiv_pos_as_xyz
'x,y,z'
loop_
_atom_site_label
_atom_site_fract_x
_atom_site_fract_y
_atom_site_fract_z
Pr1 0.000 0.000 0.000
Pa1 0.000 0.333 0.667
Pa2 0.000 0.667 0.333
Ga1 0.500 0.337 0.337
Ga2 0.500 0.663 0.663
Ga3 0.500 0.000 0.663
Ga4 0.500 0.663 0.000
Ga5 0.500 0.337 0.000
Ga6 0.500 0.000 0.337
```

The records above give, respectively, DOS(E_F) values of 5.76 3.64 14.95 4.05 1.11 3.76 4.58 23.48 3.54 8.49 states/eV/cell.